Density functional theory data (PBE) for an optimized crystal structure of ZnFeAgRh.

Structure (CIF):
```
data_ZnFeAgRh
_chemical_formula_sum 'Zn4 Fe4 Ag4 Rh4'
_symmetry_space_group_name_H-M 'F -4 3 m'
_symmetry_Int_Tables_number 216
_symmetry_space_group_name_Hall 'F -4 2 3'
_cell_length_a 6.148
_cell_length_b 6.148
_cell_length_c 6.148
_cell_angle_alpha 90.00
_cell_angle_beta 90.00
_cell_angle_gamma 90.00
loop_
_atom_site_label
_atom_site_type_symbol
_atom_site_fract_x
_atom_site_fract_y
_atom_site_fract_z
_atom_site_occupancy
Zn1 Zn 0.000 0.000 0.000 1
Fe1 Fe 0.000 0.000 0.500 1
Ag1 Ag 0.250 0.250 0.250 1
Rh1 Rh 0.250 0.250 0.750 1
```

Total magnetic moment in μB/f.u.: 3.4
Mass density in g/cm³: 9.49
Crystal system: cubic
Formation energy from the elements in kJ/mol of atoms: 2